# LiSe3N, relaxed, DFT PBE
# **Excess energy over the best structure of this formula in the dataset**: 0.810 eV per atom
# **E_form (uncorrected)**: 6.6 eV/f.u.
data_LiSe3N
_chemical_formula_sum 'Li1 Se3 N1'
_space_group_name_H-M_alt 'P m -3 m'
_space_group_IT_number 221
_space_group_name_Hall '-P 4 2 3'
_cell_length_a 4.6893
_cell_length_b 4.6893
_cell_length_c 4.6893
_cell_angle_alpha 90.00
_cell_angle_beta 90.00
_cell_angle_gamma 90.00
loop_
_atom_site_label
_atom_site_fract_x
_atom_site_fract_y
_atom_site_fract_z
_atom_site_occupancy
Li1 0.0000 0.0000 0.0000 1
Se1 0.0000 0.0000 0.5000 1
N1 0.5000 0.5000 0.5000 1


# Ce2InSi3Ni12, relaxed, DFT PBE
# **E_form (uncorrected)**: 0.1 eV/f.u.
data_Ce2InSi3Ni12
_chemical_formula_sum 'Ce6 In3 Si9 Ni36'
_space_group_name_H-M_alt 'R -3 m'
_space_group_IT_number 166
_space_group_name_Hall '-R 3 2"'
_cell_length_a 7.2995
_cell_length_b 7.2995
_cell_length_c 18.3809
_cell_angle_alpha 90.00
_cell_angle_beta 90.00
_cell_angle_gamma 120.00
loop_
_atom_site_label
_atom_site_fract_x
_atom_site_fract_y
_atom_site_fract_z
_atom_site_occupancy
Ce1 0.0000 0.0000 0.1031 1
In1 0.0000 0.0000 0.5000 1
Si1 0.0000 0.5000 0.0000 1
Ni1 0.0123 0.5061 0.3701 1
Ni2 0.0671 0.5335 0.8745 1


# Li3SnP, relaxed, DFT PBE
# **Energy relative to the elements**: -103 kJ/mol of formula units
# **Excess energy over the best structure of this formula in the dataset**: 0.000 eV per atom
data_Li3SnP
_chemical_formula_sum 'Li3 Sn1 P1'
_space_group_name_H-M_alt 'P m -3 m'
_space_group_IT_number 221
_space_group_name_Hall '-P 4 2 3'
_cell_length_a 4.6499
_cell_length_b 4.6499
_cell_length_c 4.6499
_cell_angle_alpha 90.00
_cell_angle_beta 90.00
_cell_angle_gamma 90.00
loop_
_atom_site_label
_atom_site_fract_x
_atom_site_fract_y
_atom_site_fract_z
_atom_site_occupancy
Li1 0.0000 0.0000 0.5000 1
Sn1 0.5000 0.5000 0.5000 1
P1 0.0000 0.0000 0.0000 1


# Nd2TiGe3Ir4, relaxed, DFT PBE
# **Energy relative to the elements**: -785 kJ/mol of formula units
data_Nd2TiGe3Ir4
_chemical_formula_sum 'Nd2 Ti1 Ge3 Ir4'
_space_group_name_H-M_alt 'P -4 m 2'
_space_group_IT_number 115
_space_group_name_Hall 'P -4 -2'
_cell_length_a 4.1787
_cell_length_b 4.1787
_cell_length_c 10.7409
_cell_angle_alpha 90.00
_cell_angle_beta 90.00
_cell_angle_gamma 90.00
loop_
_atom_site_label
_atom_site_fract_x
_atom_site_fract_y
_atom_site_fract_z
_atom_site_occupancy
Nd1 0.0000 0.5000 0.2430 1
Ti1 0.0000 0.0000 0.5000 1
Ge1 0.0000 0.5000 0.8716 1
Ge2 0.5000 0.5000 0.5000 1
Ir1 0.0000 0.0000 0.0000 1
Ir2 0.0000 0.5000 0.6391 1
Ir3 0.5000 0.5000 0.0000 1


# NbPdAu2, relaxed, DFT PBE
# **Energy relative to the elements**: -54 kJ/mol of formula units
# **Excess energy over the best structure of this formula in the dataset**: 0.000 eV per atom
data_NbPdAu2
_chemical_formula_sum 'Nb1 Pd1 Au2'
_space_group_name_H-M_alt 'P 4/m m m'
_space_group_IT_number 123
_space_group_name_Hall '-P 4 2'
_cell_length_a 2.9026
_cell_length_b 2.9026
_cell_length_c 8.1370
_cell_angle_alpha 90.00
_cell_angle_beta 90.00
_cell_angle_gamma 90.00
loop_
_atom_site_label
_atom_site_fract_x
_atom_site_fract_y
_atom_site_fract_z
_atom_site_occupancy
Nb1 0.0000 0.0000 0.0000 1
Pd1 0.0000 0.0000 0.5000 1
Au1 0.5000 0.5000 0.2531 1


# La8Pm3Pr, relaxed, DFT PBE
# **Energy relative to the elements**: 326 kJ/mol of formula units
data_La8Pm3Pr
_chemical_formula_sum 'La16 Pm6 Pr2'
_space_group_name_H-M_alt 'I m m m'
_space_group_IT_number 71
_space_group_name_Hall '-I 2 2'
_cell_length_a 6.8132
_cell_length_b 11.4190
_cell_length_c 11.8580
_cell_angle_alpha 90.00
_cell_angle_beta 90.00
_cell_angle_gamma 90.00
loop_
_atom_site_label
_atom_site_fract_x
_atom_site_fract_y
_atom_site_fract_z
_atom_site_occupancy
La1 0.0000 0.1673 0.2500 1
La2 0.2240 0.2730 0.0000 1
Pm1 0.0000 0.0000 0.5000 1
Pm2 0.0000 0.5000 0.2351 1
Pr1 0.0000 0.0000 0.0000 1


# HfTlRh2, relaxed, DFT PBE
# **Energy relative to the elements**: -174 kJ/mol of formula units
data_HfTlRh2
_chemical_formula_sum 'Hf1 Tl1 Rh2'
_space_group_name_H-M_alt 'P 4/m m m'
_space_group_IT_number 123
_space_group_name_Hall '-P 4 2'
_cell_length_a 4.4188
_cell_length_b 4.4188
_cell_length_c 3.5791
_cell_angle_alpha 90.00
_cell_angle_beta 90.00
_cell_angle_gamma 90.00
loop_
_atom_site_label
_atom_site_fract_x
_atom_site_fract_y
_atom_site_fract_z
_atom_site_occupancy
Hf1 0.0000 0.0000 0.0000 1
Tl1 0.5000 0.5000 0.0000 1
Rh1 0.0000 0.5000 0.5000 1


# LaPAu, relaxed, DFT PBE
# **Energy relative to the elements**: -136 kJ/mol of formula units
data_LaPAu
_chemical_formula_sum 'La3 P3 Au3'
_space_group_name_H-M_alt 'P -6 2 m'
_space_group_IT_number 189
_space_group_name_Hall 'P -6 -2'
_cell_length_a 8.1464
_cell_length_b 8.1464
_cell_length_c 3.8461
_cell_angle_alpha 90.00
_cell_angle_beta 90.00
_cell_angle_gamma 120.00
loop_
_atom_site_label
_atom_site_fract_x
_atom_site_fract_y
_atom_site_fract_z
_atom_site_occupancy
La1 0.0000 0.2954 0.0000 1
P1 0.0000 0.5824 0.5000 1
Au1 0.0000 0.0000 0.5000 1
Au2 0.3333 0.6667 0.0000 1


# La4Nd5Cd2, relaxed, DFT PBE
# **Energy relative to the elements**: -23 kJ/mol of formula units
data_La4Nd5Cd2
_chemical_formula_sum 'La4 Nd5 Cd2'
_space_group_name_H-M_alt 'P 1 2/m 1'
_space_group_IT_number 10
_space_group_name_Hall '-P 2y'
_cell_length_a 8.8859
_cell_length_b 3.5950
_cell_length_c 11.6419
_cell_angle_alpha 90.00
_cell_angle_beta 94.60
_cell_angle_gamma 90.00
loop_
_atom_site_label
_atom_site_fract_x
_atom_site_fract_y
_atom_site_fract_z
_atom_site_occupancy
La1 0.1451 0.0000 0.3771 1
La2 0.2693 0.0000 0.9535 1
Nd1 0.2029 0.5000 0.6672 1
Nd2 0.4349 0.5000 0.2040 1
Nd3 0.5000 0.5000 0.5000 1
Cd1 0.0545 0.5000 0.1311 1


# CuSeBr2, relaxed, DFT PBE
# **Excess energy over the best structure of this formula in the dataset**: 0.446 eV per atom
# **E_form (uncorrected)**: 1.1 eV/f.u.
data_CuSeBr2
_chemical_formula_sum 'Cu4 Se4 Br8'
_space_group_name_H-M_alt 'I -4 2 d'
_space_group_IT_number 122
_space_group_name_Hall 'I -4 2bw'
_cell_length_a 6.7751
_cell_length_b 6.7751
_cell_length_c 10.9595
_cell_angle_alpha 90.00
_cell_angle_beta 90.00
_cell_angle_gamma 90.00
loop_
_atom_site_label
_atom_site_fract_x
_atom_site_fract_y
_atom_site_fract_z
_atom_site_occupancy
Cu1 0.0000 0.0000 0.0000 1
Se1 0.0000 0.0000 0.5000 1
Br1 0.1636 0.2500 0.1250 1


# Ti2Pb2Br, relaxed, DFT PBE
# **E_form (uncorrected)**: 0.0 eV/f.u.
data_Ti2Pb2Br
_chemical_formula_sum 'Ti4 Pb4 Br2'
_space_group_name_H-M_alt 'P 4/m b m'
_space_group_IT_number 127
_space_group_name_Hall '-P 4 2ab'
_cell_length_a 7.1280
_cell_length_b 7.1280
_cell_length_c 4.4930
_cell_angle_alpha 90.00
_cell_angle_beta 90.00
_cell_angle_gamma 90.00
loop_
_atom_site_label
_atom_site_fract_x
_atom_site_fract_y
_atom_site_fract_z
_atom_site_occupancy
Ti1 0.1333 0.3667 0.0000 1
Pb1 0.1613 0.6613 0.5000 1
Br1 0.0000 0.0000 0.0000 1


# CrGe2Sb, relaxed, DFT PBE
# **E_form (uncorrected)**: 1.9 eV/f.u.
data_CrGe2Sb
_chemical_formula_sum 'Cr4 Ge8 Sb4'
_space_group_name_H-M_alt 'I -4 2 d'
_space_group_IT_number 122
_space_group_name_Hall 'I -4 2bw'
_cell_length_a 5.9524
_cell_length_b 5.9524
_cell_length_c 12.0863
_cell_angle_alpha 90.00
_cell_angle_beta 90.00
_cell_angle_gamma 90.00
loop_
_atom_site_label
_atom_site_fract_x
_atom_site_fract_y
_atom_site_fract_z
_atom_site_occupancy
Cr1 0.0000 0.0000 0.0000 1
Ge1 0.2179 0.2500 0.1250 1
Sb1 0.0000 0.0000 0.5000 1


Across the entries above, calculated total energy takes the values -2.817 -5.564 -3.245 -7.486 -5.594 -4.589 -7.206 -5.009 -4.147 -2.452 -4.970 -5.265 eV/atom, respectively.